# 1
A geometry-optimized Mn2NiRh structure, computed with GGA-PBEsol.

Total moment in Bohr magnetons per cell: 8.3
Crystal system: tetragonal

abc: 2.958 2.958 5.763
angles: 90.00 90.00 90.00
Space group P4/mmm (No. 123)
Unique sites:
Mn 0.000 0.000 0.239
Ni 0.500 0.500 0.000
Rh 0.500 0.500 0.500

# 2
A geometry-optimized KLa2NbO6 structure, computed with GGA-PBEsol.

Total moment in Bohr magnetons per cell: 0.0
Crystal system: monoclinic
Formation energy from raw total energies in eV/atom: -3.02

abc: 12.674 5.747 8.866
angles: 90.00 106.09 90.00
Space group C2/m (No. 12)
Unique sites:
K 0.115 0.000 0.481
La 0.089 0.500 0.206
La 0.130 0.000 0.928
Nb 0.159 0.500 0.703
O 0.000 0.252 0.000
O 0.047 0.267 0.707
O 0.177 0.500 0.503
O 0.236 0.233 0.167

# 3
A geometry-optimized Ba6Na2Nb2P2O17 structure, computed with GGA-PBEsol.

Total moment in Bohr magnetons per cell: 0.0
Crystal system: trigonal
Formation energy from raw total energies in eV/atom: -2.76

abc: 5.8171 5.8171 14.5779
angles: 90.00 90.00 120.00
Space group P-3m1 (No. 164)
Unique sites:
Ba 0.0000 0.0000 0.0000
Ba 0.0000 0.0000 0.5000
Ba 0.3333 0.6667 0.3190
Ba 0.3333 0.6667 0.8431
Na 0.0000 0.0000 0.2552
Nb 0.3333 0.6667 0.0879
P 0.3333 0.6667 0.6044
O 0.0000 0.5000 0.0000
O 0.1750 0.3501 0.1615
O 0.1883 0.3765 0.6429
O 0.3333 0.6667 0.4991

# 4
A geometry-optimized TbInCu structure, computed with GGA-PBEsol.

Total moment in Bohr magnetons per cell: 0.0
Crystal system: hexagonal

abc: 7.4242 7.4242 3.8159
angles: 90.00 90.00 120.00
Space group P-62m (No. 189)
Unique sites:
Tb 0.0000 0.5896 0.0000
In 0.0000 0.2553 0.5000
Cu 0.0000 0.0000 0.0000
Cu 0.3333 0.6667 0.5000

# 5
A geometry-optimized Tl2AgHg structure, computed with GGA-PBEsol.

Total moment in Bohr magnetons per cell: 0.0
Crystal system: orthorhombic
Energy above the lowest structure with this stoichiometry in meV per atom: 16

abc: 3.403 3.693 7.543
angles: 90.00 90.00 90.00
Space group Pmmm (No. 47)
Unique sites:
Tl 0.000 0.000 0.231
Ag 0.500 0.500 0.000
Hg 0.500 0.500 0.500

# 6
A geometry-optimized CrRe2AsW structure, computed with GGA-PBEsol.

Total moment in Bohr magnetons per cell: 2.2
Crystal system: tetragonal

abc: 4.703 4.703 4.534
angles: 90.00 90.00 90.00
Space group P4/mmm (No. 123)
Unique sites:
Cr 0.000 0.000 0.000
Re 0.000 0.500 0.500
As 0.500 0.500 0.000
W 0.000 0.000 0.500

# 7
A geometry-optimized MnSbTe2 structure, computed with GGA-PBEsol.

Total moment in Bohr magnetons per cell: 7.3
Crystal system: trigonal
Formation energy from raw total energies in eV/atom: 0.08

abc: 3.5483 3.5483 26.1876
angles: 90.00 90.00 120.00
Space group R3m (No. 160, hexagonal axes)
Unique sites:
Mn 0.0000 0.0000 0.0000
Sb 0.0000 0.0000 0.7319
Te 0.0000 0.0000 0.2730
Te 0.0000 0.0000 0.4892

# 8
A geometry-optimized KNiSb2 structure, computed with GGA-PBEsol.

Total moment in Bohr magnetons per cell: 0.0
Crystal system: orthorhombic
Energy above the lowest structure with this stoichiometry in meV per atom: 202
Formation energy from raw total energies in eV/atom: -0.10

abc: 4.259 5.237 8.404
angles: 90.00 90.00 90.00
Space group Cmmm (No. 65)
Unique sites:
K 0.000 0.000 0.000
Ni 0.000 0.000 0.500
Sb 0.000 0.500 0.323

# 9
A geometry-optimized Mn3NbP6O24 structure, computed with GGA-PBEsol.

Total moment in Bohr magnetons per cell: 23.8
Crystal system: trigonal
Formation energy from raw total energies in eV/atom: -2.01

abc: 8.2064 8.2064 21.7536
angles: 90.00 90.00 120.00
Space group R3 (No. 146, hexagonal axes)
Unique sites:
Mn 0.0000 0.0000 0.0000
Mn 0.0000 0.0000 0.2109
Mn 0.0000 0.0000 0.5073
Nb 0.0000 0.0000 0.7206
P 0.0058 0.2908 0.6056
P 0.0150 0.7319 0.1105
O 0.0195 0.1859 0.9464
O 0.0207 0.8238 0.0486
O 0.0732 0.2151 0.2584
O 0.0853 0.2153 0.5555
O 0.1455 0.4678 0.3332
O 0.1476 0.6869 0.4379
O 0.2000 0.7415 0.8285
O 0.2114 0.7637 0.1246

# 10
A geometry-optimized Cd3WO structure, computed with GGA-PBEsol.

Total moment in Bohr magnetons per cell: 1.7
Crystal system: cubic
Formation energy from raw total energies in eV/atom: 0.74

abc: 4.459 4.459 4.459
angles: 90.00 90.00 90.00
Space group Pm-3m (No. 221)
Unique sites:
Cd 0.000 0.000 0.500
W 0.500 0.500 0.500
O 0.000 0.000 0.000

# 11
A geometry-optimized TcBN3 structure, computed with GGA-PBEsol.

Total moment in Bohr magnetons per cell: 0.0
Crystal system: cubic
Formation energy from raw total energies in eV/atom: 1.63

abc: 3.826 3.826 3.826
angles: 90.00 90.00 90.00
Space group Pm-3m (No. 221)
Unique sites:
Tc 0.000 0.000 0.000
B 0.500 0.500 0.500
N 0.000 0.000 0.500

# 12
A geometry-optimized Ba2RuCl structure, computed with GGA-PBEsol.

Total moment in Bohr magnetons per cell: 4.0
Crystal system: cubic
Energy above the lowest structure with this stoichiometry in meV per atom: 176
Formation energy from raw total energies in eV/atom: -0.24

abc: 7.641 7.641 7.641
angles: 90.00 90.00 90.00
Space group Fm-3m (No. 225)
Unique sites:
Ba 0.250 0.250 0.250
Ru 0.000 0.000 0.000
Cl 0.000 0.000 0.500

# 13
A geometry-optimized TaGaO4 structure, computed with GGA-PBEsol.

Total moment in Bohr magnetons per cell: 0.0
Crystal system: orthorhombic
Formation energy from raw total energies in eV/atom: -2.43

abc: 4.947 4.647 5.567
angles: 90.00 90.00 90.00
Space group Pnc2 (No. 30)
Unique sites:
Ta 0.000 0.000 0.000
Ga 0.500 0.000 0.644
O 0.171 0.224 0.703
O 0.322 0.729 0.424

# 14
A geometry-optimized ZrMn2Cu2 structure, computed with GGA-PBEsol.

Total moment in Bohr magnetons per cell: 0.0
Crystal system: tetragonal

abc: 3.735 3.735 9.831
angles: 90.00 90.00 90.00
Space group I4/mmm (No. 139)
Unique sites:
Zr 0.000 0.000 0.000
Mn 0.000 0.000 0.403
Cu 0.000 0.500 0.250

# 15
A geometry-optimized ScNiGe structure, computed with GGA-PBEsol.

Total moment in Bohr magnetons per cell: 0.0
Crystal system: orthorhombic

abc: 6.393 4.047 6.991
angles: 90.00 90.00 90.00
Space group Pnma (No. 62)
Unique sites:
Sc 0.006 0.250 0.207
Ni 0.191 0.750 0.420
Ge 0.203 0.250 0.592

# 16
A geometry-optimized Zr3NiBr structure, computed with GGA-PBEsol.

Total moment in Bohr magnetons per cell: 0.0
Crystal system: cubic
Formation energy from raw total energies in eV/atom: 0.28

abc: 4.859 4.859 4.859
angles: 90.00 90.00 90.00
Space group Pm-3m (No. 221)
Unique sites:
Zr 0.000 0.000 0.500
Ni 0.000 0.000 0.000
Br 0.500 0.500 0.500

# 17
A geometry-optimized Li2MgRh structure, computed with GGA-PBEsol.

Total moment in Bohr magnetons per cell: 0.0
Crystal system: tetragonal

abc: 3.655 3.655 18.873
angles: 90.00 90.00 90.00
Space group I-42d (No. 122)
Unique sites:
Li 0.224 0.250 0.125
Mg 0.000 0.000 0.500
Rh 0.000 0.000 0.000

# 18
A geometry-optimized LiAg5F12 structure, computed with GGA-PBEsol.

Total moment in Bohr magnetons per cell: 0.0
Crystal system: orthorhombic
Formation energy from raw total energies in eV/atom: -1.29

abc: 6.863 6.891 10.360
angles: 90.00 90.00 90.00
Space group Cmmm (No. 65)
Unique sites:
Li 0.000 0.000 0.000
Ag 0.000 0.000 0.326
Ag 0.000 0.500 0.158
Ag 0.000 0.500 0.500
F 0.000 0.287 0.000
F 0.000 0.301 0.333
F 0.196 0.000 0.500
F 0.206 0.000 0.167

# 19
A geometry-optimized FeB4 structure, computed with GGA-PBEsol.

Total moment in Bohr magnetons per cell: 0.0
Crystal system: orthorhombic

abc: 4.458 5.261 2.988
angles: 90.00 90.00 90.00
Space group Pnnm (No. 58)
Unique sites:
Fe 0.000 0.000 0.000
B 0.162 0.373 0.000
B 0.249 0.188 0.500

# 20
A geometry-optimized LiTa2Ag structure, computed with GGA-PBEsol.

Total moment in Bohr magnetons per cell: 0.0
Crystal system: tetragonal
Energy above the lowest structure with this stoichiometry in meV per atom: 173

abc: 2.720 2.720 8.954
angles: 90.00 90.00 90.00
Space group P4/mmm (No. 123)
Unique sites:
Li 0.000 0.000 0.000
Ta 0.500 0.500 0.247
Ag 0.000 0.000 0.500

| no. | calculated volume (Å³ per cell) | N(E_F) (states/eV/cell) | DFT total energy (eV/cell) |
| --- | --- | --- | --- |
| 1 | 50.4 | 3.80 | -33.68 |
| 2 | 620.5 | 0.00 | -337.27 |
| 3 | 427.2 | 0.00 | -218.27 |
| 4 | 182.1 | 3.39 | -41.03 |
| 5 | 94.8 | 1.35 | -8.81 |
| 6 | 100.3 | 4.91 | -44.86 |
| 7 | 285.5 | 8.01 | -63.13 |
| 8 | 187.4 | 3.12 | -33.62 |
| 9 | 1268.7 | 39.94 | -807.92 |
| 10 | 88.6 | 4.84 | -18.95 |
| 11 | 56.0 | 2.91 | -35.72 |
| 12 | 446.2 | 20.91 | -69.76 |
| 13 | 128.0 | 0.00 | -102.97 |
| 14 | 137.1 | 5.08 | -72.87 |
| 15 | 180.9 | 5.74 | -81.32 |
| 16 | 114.7 | 8.69 | -33.87 |
| 17 | 252.1 | 8.78 | -54.84 |
| 18 | 490.0 | 28.62 | -129.68 |
| 19 | 70.1 | 2.93 | -76.48 |
| 20 | 66.2 | 4.46 | -28.36 |